# 1
VASP calculation (PBE) on a relaxed Sm5Tl2Zn crystal.

- Formation energy from the elements: -6.5 kcal/mol of atoms
- Energy relative to the lowest polymorph listed for this composition: 0.0 meV/atom
- E_tot: -3.984 eV/atom
- Density: 8.783 g/cm³
- Magnetic moment: 0.00 Bohr magnetons per cell
- Density of states at the Fermi level: 18.02 states/eV/cell
- Space-group type: Pbam (55)

Unit cell a=6.829 b=13.186 c=5.148 alpha=90.00 beta=90.00 gamma=90.00
Positions (direct):
Sm  0.000  0.000  0.000
Sm  0.112  0.279  0.000
Sm  0.173  0.597  0.500
Sm  0.327  0.097  0.500
Sm  0.388  0.779  0.000
Sm  0.500  0.500  0.000
Sm  0.612  0.221  0.000
Sm  0.673  0.903  0.500
Sm  0.827  0.403  0.500
Sm  0.888  0.721  0.000
Tl  0.140  0.852  0.500
Tl  0.360  0.352  0.500
Tl  0.640  0.648  0.500
Tl  0.860  0.148  0.500
Zn  0.000  0.500  0.000
Zn  0.500  0.000  0.000

# 2
VASP calculation (PBE) on a relaxed CaSiAg3 crystal.

- Energy relative to the lowest polymorph listed for this composition: 1250.2 meV/atom
- Energy relative to the elements, uncorrected: 1.208 eV/atom
- E_tot: -1.988 eV/atom
- Density: 4.408 g/cm³
- Magnetic moment: 0.00 Bohr magnetons per cell
- Density of states at the Fermi level: 3.24 states/eV/cell
- Space-group type: Pm-3m (221)

Unit cell a=5.285 b=5.285 c=5.285 alpha=90.00 beta=90.00 gamma=90.00
Positions (direct):
Ca  0.000  0.000  0.000
Si  0.500  0.500  0.500
Ag  0.000  0.000  0.500
Ag  0.000  0.500  0.000
Ag  0.500  0.000  0.000

# 3
VASP calculation (PBE) on a relaxed YMg2PdN crystal.

- Energy relative to the elements, uncorrected: -0.718 eV/atom
- E_tot: -5.352 eV/atom
- Density: 4.924 g/cm³
- Magnetic moment: 0.00 Bohr magnetons per cell
- Density of states at the Fermi level: 2.03 states/eV/cell
- Space-group type: P4/mmm (123)

Unit cell a=4.287 b=4.287 c=4.733 alpha=90.00 beta=90.00 gamma=90.00
Positions (direct):
Y  0.000  0.000  0.000
Mg  0.000  0.500  0.500
Mg  0.500  0.000  0.500
Pd  0.500  0.500  0.000
N  0.000  0.000  0.500